A plane-wave DFT calculation with GGA-PBE was carried out for crystalline MgRuC2 at its relaxed geometry.

Results
The space group is I-42d, No. 122. The energy of formation from the pure elements is 0.706 eV/atom. The total DFT energy (no corrections) comes out at -6.62 eV/atom. As for the density of states at the Fermi level: 1.3 states/eV/f.u.

Unit cell a=5.7688 b=5.7688 c=5.7688 alpha=130.11 beta=130.11 gamma=73.23
With the nearest neighbours (Å) after each atom.
Sites, in units of the cell vectors:
Mg  0.0000  0.0000  0.0000  4 C 2.25
Mg  0.7500  0.2500  0.5000  4 C 2.25
Ru  0.2500  0.7500  0.5000  4 C 1.92
Ru  0.5000  0.5000  0.0000  4 C 1.92
C  0.1821  0.6250  0.0571  2 Ru 1.92
C  0.3750  0.4321  0.5571  2 Ru 1.92
C  0.5679  0.1250  0.9429  2 Ru 1.92
C  0.8750  0.8179  0.4429  2 Ru 1.92